1.
# Cs3CaBr6

Crystalline Cs3CaBr6 at its relaxed geometry (GGA-PBE, Alexandria via LeMat-Bulk).

Structure (POSCAR):
```
Cs3CaBr6
1.0
0.000 6.289 6.289
6.289 0.000 6.289
6.289 6.289 0.000
Cs Ca Br
3 1 6
Cartesian
0.000 0.000 0.000
3.145 3.145 3.145
9.434 9.434 9.434
6.289 6.289 6.289
6.289 6.289 3.431
6.289 3.431 6.289
9.147 6.289 6.289
3.431 6.289 6.289
6.289 9.147 6.289
6.289 6.289 9.147
```

Results
As for the density: 3.06 g cm⁻³. The calculation puts the uncorrected formation energy at -1.563 eV/atom.



2.
# CsCa2Br

Crystalline CsCa2Br at its relaxed geometry (GGA-PBE, Alexandria via LeMat-Bulk).

Structure (POSCAR):
```
CsCa2Br
1.0
-3.755 3.755 9.364
3.755 -3.755 9.364
3.755 3.755 -9.364
Cs Ca Br
2 4 2
Cartesian
0.000 0.000 0.000
0.000 3.755 4.682
1.878 -0.013 7.023
3.742 1.878 2.341
1.878 3.769 -2.341
0.013 1.878 11.704
3.755 0.000 4.682
0.000 0.000 9.364
```

Results
As for the density: 1.84 g cm⁻³. Its energy above the most stable polymorph in this dataset is 0 meV per atom. The calculation puts the uncorrected formation energy at -0.330 eV/atom.



3.
# Cs4Ca3Br10

Crystalline Cs4Ca3Br10 at its relaxed geometry (GGA-PBE, Alexandria via LeMat-Bulk).

Structure (POSCAR):
```
Cs4Ca3Br10
1.0
-2.882 2.882 20.564
2.882 -2.882 20.564
2.882 2.882 -20.564
Cs Ca Br
4 3 10
Cartesian
0.000 0.000 2.842
0.000 0.000 8.280
0.000 0.000 32.847
0.000 0.000 38.286
0.000 0.000 14.742
0.000 0.000 20.564
0.000 0.000 26.386
2.882 0.000 0.000
2.882 0.000 5.688
0.000 0.000 11.896
2.882 0.000 14.876
0.000 0.000 17.680
0.000 2.882 0.000
0.000 0.000 23.448
0.000 2.882 5.688
0.000 0.000 29.232
0.000 2.882 14.876
```

Results
As for the density: 3.53 g cm⁻³. The calculation puts the uncorrected formation energy at -1.956 eV/atom.



4.
# Cs2Ca3Br8

Crystalline Cs2Ca3Br8 at its relaxed geometry (GGA-PBE, Alexandria via LeMat-Bulk).

Structure (POSCAR):
```
Cs2Ca3Br8
1.0
8.721 -4.404 0.000
8.721 4.404 0.000
-2.348 0.000 7.216
Cs Ca Br
2 3 8
Cartesian
3.652 0.000 1.231
11.442 0.000 5.985
7.547 2.273 3.608
8.721 0.000 0.000
7.547 -2.273 3.608
0.758 0.000 3.341
6.764 1.986 0.812
8.329 1.986 6.404
5.669 0.000 4.338
9.424 0.000 2.879
6.764 -1.986 0.812
8.329 -1.986 6.404
14.336 0.000 3.875
```

Results
As for the density: 3.07 g cm⁻³. The calculation puts the uncorrected formation energy at -1.986 eV/atom.



The records above give, respectively, spin magnetization values of 1.0 0.0 0.0 0.0 μB/f.u..